# PBE Bi2PdPbI, optimized geometry
data_Bi2PdPbI
_chemical_formula_sum 'Bi2 Pd1 Pb1 I1'
_space_group_name_H-M_alt 'P 4/m m m'
_space_group_IT_number 123
_space_group_name_Hall '-P 4 2'
_cell_length_a 5.454
_cell_length_b 5.454
_cell_length_c 5.514
_cell_angle_alpha 90.00
_cell_angle_beta 90.00
_cell_angle_gamma 90.00
loop_
_atom_site_label
_atom_site_type_symbol
_atom_site_fract_x
_atom_site_fract_y
_atom_site_fract_z
Bi1 Bi 0.000 0.500 0.000
Pd1 Pd 0.000 0.000 0.000
Pb1 Pb 0.500 0.500 0.500
I1 I 0.000 0.000 0.500
# DFT total energy, eV/atom: -3.4238
# Magnetization, μB/atom: 0.000
# Formation energy (no corrections), eV/atom: 0.219
# D(E_F), states/eV/f.u.: 5.72